1.
First-principles (PBE) data for a relaxed Ba2AgH6Pd crystal, as listed in the Open Quantum Materials Database.

## Properties
The crystal system is cubic. Its space group is Fm-3m.

The structure in POSCAR format:
```
Ba2AgH6Pd
1.0
0.000 4.020 4.020
4.020 0.000 4.020
4.020 4.020 0.000
Ba Ag H Pd
2 1 6 1
direct
0.250 0.250 0.250
0.750 0.750 0.750
0.000 0.000 0.000
0.267 0.267 0.733
0.267 0.733 0.267
0.267 0.733 0.733
0.733 0.267 0.267
0.733 0.267 0.733
0.733 0.733 0.267
0.500 0.500 0.500
```


2.
First-principles (PBE) data for a relaxed Cd2SnGeAs4 crystal, as listed in the Open Quantum Materials Database.

## Properties
The crystal system is tetragonal. Its space group is I-4.

The structure in POSCAR format:
```
Cd2SnGeAs4
1.0
-3.074 3.074 5.893
3.074 -3.074 5.893
3.074 3.074 -5.893
Cd Sn Ge As
2 1 1 4
direct
0.000 0.000 0.000
0.750 0.250 0.500
0.250 0.750 0.500
0.500 0.500 0.000
0.146 0.617 0.002
0.383 0.385 0.529
0.615 0.144 0.998
0.856 0.854 0.471
```


3.
First-principles (PBE) data for a relaxed YFeBiW crystal, as listed in the Open Quantum Materials Database.

## Properties
For the total magnetization, the calculation gives 3.648 μB/f.u. The crystal system is cubic. Its space group is F-43m. For the energy relative to the lowest polymorph listed for this composition, the calculation gives 70 meV per atom.

The structure in POSCAR format:
```
YFeBiW
1.0
0.000 3.398 3.398
3.398 0.000 3.398
3.398 3.398 0.000
Y Fe Bi W
1 1 1 1
direct
0.000 0.000 0.000
0.500 0.500 0.500
0.250 0.250 0.250
0.750 0.750 0.750
```


4.
First-principles (PBE) data for a relaxed Co crystal, as listed in the Open Quantum Materials Database.

## Properties
For the total magnetization, the calculation gives 0.002 μB/f.u. The crystal system is trigonal. Its space group is R-3m. The formation enthalpy at 0 K comes out at 222 meV/atom. For the energy relative to the lowest polymorph listed for this composition, the calculation gives 222 meV per atom.

The structure in POSCAR format:
```
Co
1.0
1.237 0.714 6.009
-1.237 0.714 6.009
0.000 -1.429 6.009
Co
3
direct
0.000 0.000 0.000
0.222 0.222 0.222
0.778 0.778 0.778
```


5.
First-principles (PBE) data for a relaxed Tb2Si2O7 crystal, as listed in the Open Quantum Materials Database.

## Properties
For the total magnetization, the calculation gives 0.001 μB/f.u. The crystal system is monoclinic. Its space group is P2_1/c.

The structure in POSCAR format:
```
Tb2Si2O7
1.0
4.691 0.000 0.000
0.000 10.874 0.000
-0.569 0.000 5.549
Tb Si O
4 4 14
direct
0.115 0.149 0.405
0.115 0.351 0.905
0.885 0.649 0.095
0.885 0.851 0.595
0.360 0.613 0.644
0.360 0.887 0.144
0.640 0.113 0.856
0.640 0.387 0.356
0.122 0.683 0.460
0.122 0.817 0.960
0.208 0.553 0.869
0.208 0.947 0.369
0.382 0.204 0.748
0.382 0.296 0.248
0.500 0.000 0.000
0.500 0.500 0.500
0.618 0.704 0.752
0.618 0.796 0.252
0.792 0.053 0.631
0.792 0.447 0.131
0.878 0.183 0.040
0.878 0.317 0.540
```


6.
First-principles (PBE) data for a relaxed ErFeSi2Ag crystal, as listed in the Open Quantum Materials Database.

## Properties
For the total magnetization, the calculation gives 1.937 μB/f.u. The crystal system is tetragonal. Its space group is I-4m2.

The structure in POSCAR format:
```
ErFeSi2Ag
1.0
-2.023 2.023 5.095
2.023 -2.023 5.095
2.023 2.023 -5.095
Er Fe Si Ag
1 1 2 1
direct
0.000 0.000 0.000
0.750 0.250 0.500
0.385 0.385 0.000
0.615 0.615 0.000
0.250 0.750 0.500
```


| no. | total energy (eV/f.u.) |
| --- | --- |
| 1 | -35.73 |
| 2 | -29.97 |
| 3 | -28.56 |
| 4 | -6.88 |
| 5 | -90.22 |
| 6 | -28.53 |